1.
Density functional theory data (PBE) for a relaxed Nd7Ho12Tm crystal.

```
data_Nd7Ho12Tm
_chemical_formula_sum 'Nd14 Ho24 Tm2'
_cell_length_a 11.290
_cell_length_b 11.290
_cell_length_c 11.290
_cell_angle_alpha 90.00
_cell_angle_beta 90.00
_cell_angle_gamma 90.00
_symmetry_space_group_name_H-M 'I m -3 m'
_symmetry_Int_Tables_number 229
_symmetry_space_group_name_Hall '-I 4 2 3'
loop_
_atom_site_label
_atom_site_fract_x
_atom_site_fract_y
_atom_site_fract_z
Nd1 0.000 0.000 0.500
Nd2 0.250 0.250 0.250
Ho1 0.000 0.245 0.245
Tm1 0.000 0.000 0.000
```

## Properties
Energy relative to the lowest polymorph listed for this composition, eV per atom: 0.421
Energy, eV per atom: -3.987
Mass density, g cm⁻³: 7.3
N(E_F), states/eV/f.u.: 27.6
Total moment, Bohr magnetons per cell: 0.00
Calculated formation energy, eV per atom: 0.65

=====

2.
Density functional theory data (PBE) for a relaxed Nd5Ho12Tm2 crystal.

```
data_Nd5Ho12Tm2
_chemical_formula_sum 'Nd10 Ho24 Tm4'
_cell_length_a 17.777
_cell_length_b 9.023
_cell_length_c 8.662
_cell_angle_alpha 90.00
_cell_angle_beta 115.42
_cell_angle_gamma 90.00
_symmetry_space_group_name_H-M 'C 1 2/m 1'
_symmetry_Int_Tables_number 12
_symmetry_space_group_name_Hall '-C 2y'
loop_
_atom_site_label
_atom_site_fract_x
_atom_site_fract_y
_atom_site_fract_z
Nd1 0.000 0.000 0.000
Nd2 0.210 0.500 0.723
Nd3 0.236 0.000 0.790
Ho1 0.045 0.000 0.681
Ho2 0.058 0.500 0.214
Ho3 0.127 0.277 0.955
Ho4 0.145 0.186 0.404
Tm1 0.000 0.327 0.500
```

## Properties
Energy relative to the lowest polymorph listed for this composition, eV per atom: 0.093
Energy, eV per atom: -4.404
Mass density, g cm⁻³: 8.0
N(E_F), states/eV/f.u.: 28.8
Total moment, Bohr magnetons per cell: 0.00
Calculated formation energy, eV per atom: 0.21

=====

3.
Density functional theory data (PBE) for a relaxed Nd12Ho6Tm crystal.

```
data_Nd12Ho6Tm
_chemical_formula_sum 'Nd36 Ho18 Tm3'
_cell_length_a 12.1529
_cell_length_b 12.1529
_cell_length_c 15.3026
_cell_angle_alpha 90.00
_cell_angle_beta 90.00
_cell_angle_gamma 120.00
_symmetry_space_group_name_H-M 'R -3'
_symmetry_Int_Tables_number 148
_symmetry_space_group_name_Hall '-R 3'
loop_
_atom_site_label
_atom_site_fract_x
_atom_site_fract_y
_atom_site_fract_z
Nd1 0.0020 0.1735 0.1912
Nd2 0.0471 0.1976 0.4162
Ho1 0.0167 0.5884 0.6873
Tm1 0.0000 0.0000 0.0000
```

## Properties
Energy relative to the lowest polymorph listed for this composition, eV per atom: 0.116
Energy, eV per atom: -4.560
Mass density, g cm⁻³: 7.4
N(E_F), states/eV/f.u.: 32.6
Total moment, Bohr magnetons per cell: 0.00
Calculated formation energy, eV per atom: 0.13

=====

4.
Density functional theory data (PBE) for a relaxed NdHo6Tm crystal.

```
data_NdHo6Tm
_chemical_formula_sum 'Nd1 Ho6 Tm1'
_cell_length_a 6.524
_cell_length_b 6.692
_cell_length_c 6.916
_cell_angle_alpha 118.20
_cell_angle_beta 104.46
_cell_angle_gamma 90.19
_symmetry_space_group_name_H-M 'P -1'
_symmetry_Int_Tables_number 2
_symmetry_space_group_name_Hall '-P 1'
loop_
_atom_site_label
_atom_site_fract_x
_atom_site_fract_y
_atom_site_fract_z
Nd1 0.000 0.000 0.000
Ho1 0.232 0.577 0.483
Ho2 0.253 0.546 0.002
Ho3 0.273 0.096 0.529
Tm1 0.500 0.000 0.000
```

## Properties
Energy relative to the lowest polymorph listed for this composition, eV per atom: 0.000
Energy, eV per atom: -4.379
Mass density, g cm⁻³: 8.5
N(E_F), states/eV/f.u.: 13.4
Total moment, Bohr magnetons per cell: 0.00
Calculated formation energy, eV per atom: 0.21

=====

5.
Density functional theory data (PBE) for a relaxed Nd4Ho9Tm11 crystal.

```
data_Nd4Ho9Tm11
_chemical_formula_sum 'Nd8 Ho18 Tm22'
_cell_length_a 16.544
_cell_length_b 24.894
_cell_length_c 3.665
_cell_angle_alpha 90.00
_cell_angle_beta 90.00
_cell_angle_gamma 90.00
_symmetry_space_group_name_H-M 'C m m m'
_symmetry_Int_Tables_number 65
_symmetry_space_group_name_Hall '-C 2 2'
loop_
_atom_site_label
_atom_site_fract_x
_atom_site_fract_y
_atom_site_fract_z
Nd1 0.154 0.100 0.000
Ho1 0.000 0.000 0.000
Ho2 0.102 0.236 0.000
Ho3 0.138 0.427 0.000
Tm1 0.000 0.136 0.500
Tm2 0.000 0.340 0.500
Tm3 0.000 0.500 0.500
Tm4 0.215 0.000 0.500
Tm5 0.226 0.319 0.500
```

## Properties
Energy, eV per atom: -4.501
Mass density, g cm⁻³: 8.6
N(E_F), states/eV/f.u.: 29.7
Total moment, Bohr magnetons per cell: 0.24
Calculated formation energy, eV per atom: 0.06

=====

6.
Density functional theory data (PBE) for a relaxed Nd4Ho4Tm3 crystal.

```
data_Nd4Ho4Tm3
_chemical_formula_sum 'Nd4 Ho4 Tm3'
_cell_length_a 3.537
_cell_length_b 5.612
_cell_length_c 18.266
_cell_angle_alpha 98.81
_cell_angle_beta 95.40
_cell_angle_gamma 90.00
_symmetry_space_group_name_H-M 'P -1'
_symmetry_Int_Tables_number 2
_symmetry_space_group_name_Hall '-P 1'
loop_
_atom_site_label
_atom_site_fract_x
_atom_site_fract_y
_atom_site_fract_z
Nd1 0.092 0.095 0.191
Nd2 0.218 0.720 0.441
Ho1 0.041 0.543 0.087
Ho2 0.321 0.819 0.637
Tm1 0.375 0.371 0.741
Tm2 0.500 0.000 0.000
```

## Properties
Energy relative to the lowest polymorph listed for this composition, eV per atom: 0.000
Energy, eV per atom: -4.588
Mass density, g cm⁻³: 8.1
N(E_F), states/eV/f.u.: 18.2
Total moment, Bohr magnetons per cell: 0.00
Calculated formation energy, eV per atom: 0.03

=====

7.
Density functional theory data (PBE) for a relaxed Nd4HoTm crystal.

```
data_Nd4HoTm
_chemical_formula_sum 'Nd16 Ho4 Tm4'
_cell_length_a 5.851
_cell_length_b 22.605
_cell_length_c 6.142
_cell_angle_alpha 90.00
_cell_angle_beta 90.00
_cell_angle_gamma 90.00
_symmetry_space_group_name_H-M 'I m m a'
_symmetry_Int_Tables_number 74
_symmetry_space_group_name_Hall '-I 2b 2'
loop_
_atom_site_label
_atom_site_fract_x
_atom_site_fract_y
_atom_site_fract_z
Nd1 0.000 0.086 0.048
Nd2 0.000 0.170 0.569
Ho1 0.000 0.000 0.500
Tm1 0.000 0.250 0.079
```

## Properties
Energy relative to the lowest polymorph listed for this composition, eV per atom: 0.052
Energy, eV per atom: -4.619
Mass density, g cm⁻³: 7.4
N(E_F), states/eV/f.u.: 10.3
Total moment, Bohr magnetons per cell: 0.00
Calculated formation energy, eV per atom: 0.07

=====

8.
Density functional theory data (PBE) for a relaxed Nd6HoTm5 crystal.

```
data_Nd6HoTm5
_chemical_formula_sum 'Nd12 Ho2 Tm10'
_cell_length_a 5.113
_cell_length_b 9.999
_cell_length_c 15.300
_cell_angle_alpha 90.00
_cell_angle_beta 90.00
_cell_angle_gamma 90.00
_symmetry_space_group_name_H-M 'I m m m'
_symmetry_Int_Tables_number 71
_symmetry_space_group_name_Hall '-I 2 2'
loop_
_atom_site_label
_atom_site_fract_x
_atom_site_fract_y
_atom_site_fract_z
Nd1 0.000 0.250 0.000
Nd2 0.000 0.250 0.333
Ho1 0.000 0.000 0.500
Tm1 0.000 0.000 0.167
Tm2 0.000 0.500 0.167
Tm3 0.000 0.500 0.500
```

## Properties
Energy, eV per atom: -4.610
Mass density, g cm⁻³: 8.0
N(E_F), states/eV/f.u.: 16.0
Total moment, Bohr magnetons per cell: 0.00
Calculated formation energy, eV per atom: 0.02

=====

9.
Density functional theory data (PBE) for a relaxed Nd3Ho2Tm5 crystal.

```
data_Nd3Ho2Tm5
_chemical_formula_sum 'Nd12 Ho8 Tm20'
_cell_length_a 12.849
_cell_length_b 16.818
_cell_length_c 6.277
_cell_angle_alpha 90.00
_cell_angle_beta 90.00
_cell_angle_gamma 90.00
_symmetry_space_group_name_H-M 'I b a m'
_symmetry_Int_Tables_number 72
_symmetry_space_group_name_Hall '-I 2 2c'
loop_
_atom_site_label
_atom_site_fract_x
_atom_site_fract_y
_atom_site_fract_z
Nd1 0.000 0.000 0.250
Nd2 0.158 0.245 0.000
Ho1 0.104 0.156 0.500
Tm1 0.000 0.500 0.250
Tm2 0.098 0.345 0.500
Tm3 0.246 0.500 0.250
```

## Properties
Energy relative to the lowest polymorph listed for this composition, eV per atom: 0.145
Energy, eV per atom: -4.242
Mass density, g cm⁻³: 7.9
N(E_F), states/eV/f.u.: 16.6
Total moment, Bohr magnetons per cell: 0.00
Calculated formation energy, eV per atom: 0.34